Density functional theory data (PBE-GGA) for an optimized crystal structure of Pa2FeC.

Cell lengths 3.5866, 3.5866, 6.6801 Å; angles 74.43, 74.43, 60.00 degrees
Positions (direct):
C: 0.5000 0.5000 0.5000
Pa: 0.7554 0.7554 0.7338
Pa: 0.2446 0.2446 0.2662
Fe: 0.0000 0.0000 0.0000

Results
**Energy of formation**: -132 meV per atom
**Total magnetization**: 0.000 μB per formula unit